1.
{
  "formula": "Er2TmPt9",
  "functional": "PBE",
  "state": "optimized geometry",
  "crystal_system": "tetragonal",
  "dft_energy_ev_per_cell": -80.91,
  "m_tot_mub_per_fu": 0.00,
  "ef_ev_per_atom": -1.079,
  "lattice": [[4.097, 0.000, 0.000], [0.000, 4.097, 0.000], [0.000, 0.000, 12.291]],
  "species": ["Er", "Er", "Tm", "Pt", "Pt", "Pt", "Pt", "Pt", "Pt", "Pt", "Pt", "Pt"],
  "frac_coords": [[0.000, 0.000, 0.167], [0.000, 0.000, 0.833], [0.000, 0.000, 0.500], [0.000, 0.500, 0.000], [0.000, 0.500, 0.334], [0.000, 0.500, 0.666], [0.500, 0.000, 0.000], [0.500, 0.000, 0.334], [0.500, 0.000, 0.666], [0.500, 0.500, 0.167], [0.500, 0.500, 0.500], [0.500, 0.500, 0.833]]
}



2.
{
  "formula": "SrNi2Pt2",
  "functional": "PBE",
  "state": "optimized geometry",
  "crystal_system": "tetragonal",
  "dft_energy_ev_per_cell": -26.32,
  "m_tot_mub_per_fu": 1.52,
  "ef_ev_per_atom": -0.198,
  "lattice": [[-2.111, 2.111, 5.077], [2.111, -2.111, 5.077], [2.111, 2.111, -5.077]],
  "species": ["Sr", "Ni", "Ni", "Pt", "Pt"],
  "frac_coords": [[0.000, 0.000, 0.000], [0.387, 0.387, 0.000], [0.613, 0.613, 0.000], [0.250, 0.750, 0.500], [0.750, 0.250, 0.500]]
}